Compound: Ac2Mg2Pd15
Source: Alexandria via LeMat-Bulk
Functional: PBE
Structure: optimized geometry

Calculated values
Calculated total energy = -5.207 eV/atom
DFT formation energy = -0.507 eV/atom
Space-group type = No. 166
DOS at the Fermi energy = 0.958 states/eV per atom
M_tot = 0.00 μB/cell

The structure in POSCAR format:
```
Ac2Mg2Pd15
1.0
7.090 0.076 0.067
0.995 7.020 0.067
0.995 0.873 6.966
Pd Mg Ac
15 2 2
Direct
0.500 0.000 0.000
0.702 0.298 0.000
0.000 0.500 0.000
0.653 0.153 0.653
0.298 0.702 0.000
0.702 0.000 0.298
0.000 0.000 0.500
0.653 0.653 0.153
0.347 0.847 0.347
0.000 0.298 0.702
0.000 0.702 0.298
0.298 0.000 0.702
0.153 0.653 0.653
0.847 0.347 0.347
0.347 0.347 0.847
0.901 0.901 0.901
0.099 0.099 0.099
0.348 0.348 0.348
0.652 0.652 0.652
```